Density functional theory data (GGA-PBE) for a relaxed Nd4Ga17Ni2 crystal.

Values from the calculation:
Magnetization (Bohr magnetons per cell): 0.00
Raw total energy (eV for the cell shown): -91.58
ρ (g/cm3): 6.98
Formation enthalpy at 0 K (eV/atom): -0.41

Lattice parameters (Å, degrees): 4.2562 4.3574 24.2872 95.15 95.03 90.00
Last column: nearest neighbours and their distance in Å.
Fractional positions:
Ga  0.4736  0.9736  0.9472  2 Ni 2.48, 3 Ga 2.56
Ga  0.1382  0.6382  0.2763  4 Ga 2.60-2.62
Ga  0.3940  0.3940  0.7880  5 Ga 2.49-2.62
Nd  0.3073  0.3073  0.6146  16 Ga 3.27-3.53
Ga  0.6370  0.1370  0.2740  4 Ga 2.61
Ga  0.0213  0.5213  0.0426  3 Ni 2.40-2.48
Ga  0.4458  0.4458  0.8915  2 Ni 2.42, 3 Ga 2.49-2.56
Ga  0.5565  0.5565  0.1130  5 Ga 2.45-2.72
Ga  0.3637  0.8637  0.7273  4 Ga 2.62
Ga  0.6073  0.6073  0.2146  5 Ga 2.45-2.61
Ga  0.2199  0.2199  0.4397  5 Ga 2.48-2.61
Ga  0.7510  0.2510  0.5019  4 Ga 2.60-2.61
Ga  0.2497  0.7497  0.4994  4 Ga 2.60-2.61
Ga  0.1685  0.1685  0.3370  5 Ga 2.48-2.62
Nd  0.0776  0.0776  0.1552  14 Ga 3.21-3.57
Ga  0.5267  0.0267  0.0535  2 Ni 2.48, 3 Ga 2.56-2.61
Nd  0.9228  0.9228  0.8455  2 Ni 3.14, 10 Ga 3.24-3.35
Ni  0.9698  0.4698  0.9396  3 Ga 2.42-2.48, 2 Ni 2.62
Nd  0.6938  0.6938  0.3877  16 Ga 3.28-3.51
Ga  0.8627  0.3627  0.7255  4 Ga 2.61-2.63
Ni  0.0002  0.0002  0.0004  6 Ga 2.40-2.48, 2 Ni 2.62
Ga  0.7807  0.7807  0.5614  5 Ga 2.48-2.61
Ga  0.8321  0.8321  0.6642  5 Ga 2.48-2.63